A plane-wave DFT calculation with SCAN was carried out for NaBi3B at its PBEsol-relaxed geometry.

ΔE_f (meV/atom): 1579
Crystal system: cubic

Geometry as POSCAR:
```
NaBi3B
1.0
5.371 0.000 0.000
0.000 5.371 0.000
0.000 0.000 5.371
Na Bi B
1 3 1
Direct
0.000 0.000 0.000
0.000 0.000 0.500
0.000 0.500 0.000
0.500 0.000 0.000
0.500 0.500 0.500
```

=====

A plane-wave DFT calculation with SCAN was carried out for Na3BiB2O6 at its PBEsol-relaxed geometry.

Formation energy (no corrections) (eV per atom): -2.11
Crystal system: monoclinic

Geometry as POSCAR:
```
Na3BiB2O6
1.0
9.543 0.000 0.000
0.000 6.352 0.000
-4.179 0.000 9.537
Na Bi B O
12 4 8 24
Direct
0.068 0.228 0.016
0.068 0.272 0.516
0.230 0.589 0.162
0.230 0.911 0.662
0.292 0.599 0.480
0.292 0.901 0.980
0.708 0.099 0.020
0.708 0.401 0.520
0.770 0.089 0.338
0.770 0.411 0.838
0.932 0.728 0.484
0.932 0.772 0.984
0.315 0.093 0.349
0.315 0.407 0.849
0.685 0.593 0.151
0.685 0.907 0.651
0.024 0.596 0.771
0.024 0.904 0.271
0.478 0.233 0.197
0.478 0.267 0.697
0.522 0.733 0.303
0.522 0.767 0.803
0.976 0.096 0.729
0.976 0.404 0.229
0.105 0.587 0.915
0.105 0.913 0.415
0.109 0.579 0.687
0.109 0.921 0.187
0.133 0.112 0.794
0.133 0.388 0.294
0.321 0.197 0.136
0.321 0.303 0.636
0.439 0.724 0.883
0.439 0.776 0.383
0.452 0.710 0.161
0.452 0.790 0.661
0.548 0.210 0.339
0.548 0.290 0.839
0.561 0.224 0.617
0.561 0.276 0.117
0.679 0.697 0.364
0.679 0.803 0.864
0.867 0.612 0.706
0.867 0.888 0.206
0.891 0.079 0.813
0.891 0.421 0.313
0.895 0.087 0.585
0.895 0.413 0.085
```

=====

A plane-wave DFT calculation with SCAN was carried out for Na3BiBPO7 at its PBEsol-relaxed geometry.

Formation energy (no corrections) (eV per atom): -2.20
Crystal system: monoclinic

Geometry as POSCAR:
```
Na3BiBPO7
1.0
5.294 0.000 0.000
0.000 7.005 0.000
-0.211 0.000 9.328
Na Bi B P O
6 2 2 2 14
Direct
0.238 0.250 0.439
0.248 0.508 0.736
0.248 0.992 0.736
0.752 0.008 0.264
0.752 0.492 0.264
0.762 0.750 0.561
0.229 0.750 0.141
0.771 0.250 0.859
0.260 0.750 0.428
0.740 0.250 0.572
0.284 0.250 0.100
0.716 0.750 0.900
0.030 0.750 0.348
0.170 0.075 0.180
0.170 0.425 0.180
0.211 0.250 0.937
0.270 0.750 0.572
0.426 0.750 0.885
0.477 0.750 0.343
0.523 0.250 0.657
0.574 0.250 0.115
0.730 0.250 0.428
0.789 0.750 0.063
0.830 0.575 0.820
0.830 0.925 0.820
0.970 0.250 0.652
```

=====

A plane-wave DFT calculation with SCAN was carried out for Na4Bi2B4SO16 at its PBEsol-relaxed geometry.

Formation energy (no corrections) (eV per atom): -1.86
Crystal system: orthorhombic

Geometry as POSCAR:
```
Na4Bi2B4SO16
1.0
0.000 7.085 7.341
7.015 0.000 7.341
7.015 7.085 0.000
Na Bi B S O
8 4 8 2 32
Direct
0.078 0.672 0.078
0.078 0.672 0.672
0.328 0.922 0.328
0.328 0.922 0.922
0.672 0.078 0.078
0.672 0.078 0.672
0.922 0.328 0.328
0.922 0.328 0.922
0.000 0.500 0.500
0.500 0.000 0.500
0.500 0.500 0.000
0.500 0.500 0.500
0.277 0.645 0.290
0.287 0.290 0.645
0.290 0.287 0.277
0.355 0.723 0.713
0.645 0.277 0.287
0.710 0.713 0.723
0.713 0.710 0.355
0.723 0.355 0.710
0.125 0.125 0.125
0.875 0.875 0.875
0.058 0.306 0.068
0.067 0.068 0.306
0.068 0.067 0.058
0.137 0.641 0.420
0.141 0.306 0.652
0.141 0.414 0.293
0.293 0.652 0.141
0.302 0.420 0.641
0.306 0.058 0.067
0.306 0.141 0.400
0.348 0.600 0.859
0.348 0.707 0.586
0.359 0.863 0.698
0.400 0.652 0.306
0.414 0.141 0.652
0.420 0.302 0.137
0.580 0.698 0.863
0.586 0.859 0.348
0.600 0.348 0.694
0.641 0.137 0.302
0.652 0.293 0.414
0.652 0.400 0.141
0.694 0.859 0.600
0.694 0.942 0.933
0.698 0.580 0.359
0.707 0.348 0.859
0.859 0.586 0.707
0.859 0.694 0.348
0.863 0.359 0.580
0.932 0.933 0.942
0.933 0.932 0.694
0.942 0.694 0.932
```

=====

A plane-wave DFT calculation with SCAN was carried out for Na2SiBiBO7 at its PBEsol-relaxed geometry.

Formation energy (no corrections) (eV per atom): -1.99
Crystal system: monoclinic

Geometry as POSCAR:
```
Na2SiBiBO7
1.0
5.410 0.000 0.000
0.000 6.799 0.000
-0.578 0.000 9.539
Na Si Bi B O
4 2 2 2 14
Direct
0.238 0.000 0.307
0.238 0.500 0.307
0.762 0.000 0.693
0.762 0.500 0.693
0.268 0.250 0.932
0.732 0.750 0.068
0.214 0.750 0.852
0.786 0.250 0.148
0.270 0.750 0.582
0.730 0.250 0.418
0.038 0.750 0.645
0.157 0.250 0.088
0.173 0.061 0.837
0.173 0.439 0.837
0.310 0.750 0.448
0.425 0.750 0.046
0.468 0.750 0.691
0.532 0.250 0.309
0.575 0.250 0.954
0.690 0.250 0.552
0.827 0.561 0.163
0.827 0.939 0.163
0.843 0.750 0.912
0.962 0.250 0.355
```

=====

A plane-wave DFT calculation with SCAN was carried out for Na3SiBiBO7 at its PBEsol-relaxed geometry.

Formation energy (no corrections) (eV per atom): -2.13
Crystal system: monoclinic

Geometry as POSCAR:
```
Na3SiBiBO7
1.0
5.316 0.000 0.000
0.000 6.933 0.000
0.000 0.000 9.230
Na Si Bi B O
6 2 2 2 14
Direct
0.239 0.250 0.425
0.251 0.507 0.742
0.251 0.993 0.742
0.749 0.007 0.258
0.749 0.493 0.258
0.761 0.750 0.575
0.290 0.250 0.085
0.710 0.750 0.915
0.220 0.750 0.150
0.780 0.250 0.850
0.273 0.750 0.440
0.727 0.250 0.560
0.036 0.750 0.371
0.184 0.250 0.918
0.191 0.068 0.184
0.191 0.432 0.184
0.307 0.750 0.584
0.400 0.750 0.924
0.480 0.750 0.343
0.520 0.250 0.657
0.600 0.250 0.076
0.693 0.250 0.416
0.809 0.568 0.816
0.809 0.932 0.816
0.816 0.750 0.082
0.964 0.250 0.629
```

=====

A plane-wave DFT calculation with SCAN was carried out for NiBiB2Se at its PBEsol-relaxed geometry.

Formation energy (no corrections) (eV per atom): 1.48
Crystal system: tetragonal

Geometry as POSCAR:
```
NiBiB2Se
1.0
4.171 0.000 0.000
0.000 4.171 0.000
0.000 0.000 4.520
Ni Bi B Se
1 1 2 1
Direct
0.000 0.000 0.000
0.500 0.500 0.000
0.000 0.500 0.500
0.500 0.000 0.500
0.000 0.000 0.500
```

=====

A plane-wave DFT calculation with SCAN was carried out for BiB3O6 at its PBEsol-relaxed geometry.

Excess energy over the best structure of this formula in the dataset (eV per atom): 0.004
Formation energy (no corrections) (eV per atom): -2.30
Crystal system: monoclinic

Geometry as POSCAR:
```
BiB3O6
1.0
4.255 0.000 0.000
0.000 11.716 0.000
-0.152 0.000 7.236
Bi B O
4 12 24
Direct
0.170 0.115 0.372
0.170 0.385 0.872
0.830 0.615 0.128
0.830 0.885 0.628
0.196 0.093 0.870
0.196 0.407 0.370
0.311 0.624 0.432
0.311 0.876 0.932
0.321 0.662 0.793
0.321 0.838 0.293
0.679 0.162 0.707
0.679 0.338 0.207
0.689 0.124 0.068
0.689 0.376 0.568
0.804 0.593 0.630
0.804 0.907 0.130
0.151 0.626 0.616
0.151 0.874 0.116
0.194 0.528 0.319
0.194 0.972 0.819
0.211 0.721 0.320
0.211 0.779 0.820
0.236 0.581 0.940
0.236 0.919 0.440
0.339 0.161 0.727
0.339 0.339 0.227
0.353 0.116 0.044
0.353 0.384 0.544
0.647 0.616 0.456
0.647 0.884 0.956
0.661 0.661 0.773
0.661 0.839 0.273
0.764 0.081 0.560
0.764 0.419 0.060
0.789 0.221 0.180
0.789 0.279 0.680
0.806 0.028 0.181
0.806 0.472 0.681
0.849 0.126 0.884
0.849 0.374 0.384
```

=====

A plane-wave DFT calculation with SCAN was carried out for BiB3O6 at its PBEsol-relaxed geometry.

Excess energy over the best structure of this formula in the dataset (eV per atom): 0.000
Formation energy (no corrections) (eV per atom): -2.31
Crystal system: orthorhombic

Geometry as POSCAR:
```
BiB3O6
1.0
18.430 0.000 0.000
0.000 4.452 0.000
0.000 0.000 4.280
Bi B O
4 12 24
Direct
0.162 0.159 0.000
0.338 0.159 0.500
0.662 0.841 0.000
0.838 0.841 0.500
0.002 0.826 0.927
0.073 0.672 0.452
0.213 0.635 0.478
0.287 0.635 0.978
0.427 0.672 0.952
0.498 0.826 0.427
0.502 0.174 0.927
0.573 0.328 0.452
0.713 0.365 0.478
0.787 0.365 0.978
0.927 0.328 0.952
0.998 0.174 0.427
0.018 0.871 0.281
0.061 0.360 0.377
0.069 0.738 0.784
0.146 0.757 0.342
0.212 0.307 0.472
0.224 0.746 0.798
0.276 0.746 0.298
0.288 0.307 0.972
0.354 0.757 0.842
0.431 0.738 0.284
0.439 0.360 0.877
0.482 0.871 0.781
0.518 0.129 0.281
0.561 0.640 0.377
0.569 0.262 0.784
0.646 0.243 0.342
0.712 0.693 0.472
0.724 0.254 0.798
0.776 0.254 0.298
0.788 0.693 0.972
0.854 0.243 0.842
0.931 0.262 0.284
0.939 0.640 0.877
0.982 0.129 0.781
```

=====

A plane-wave DFT calculation with SCAN was carried out for Bi6B10O21 at its PBEsol-relaxed geometry.

Formation energy (no corrections) (eV per atom): -2.02
Crystal system: triclinic

Geometry as POSCAR:
```
Bi6B10O21
1.0
6.816 0.000 0.000
2.964 6.574 0.000
0.627 2.538 10.189
Bi B O
6 10 21
Direct
0.130 0.243 0.135
0.216 0.001 0.927
0.271 0.285 0.568
0.729 0.715 0.432
0.784 0.999 0.073
0.870 0.757 0.865
0.141 0.644 0.271
0.149 0.796 0.531
0.367 0.454 0.907
0.411 0.795 0.229
0.465 0.587 0.685
0.535 0.413 0.315
0.589 0.205 0.771
0.633 0.546 0.093
0.851 0.204 0.469
0.859 0.356 0.729
0.000 0.000 0.500
0.072 0.323 0.743
0.091 0.640 0.516
0.185 0.819 0.234
0.223 0.490 0.005
0.304 0.443 0.313
0.350 0.762 0.577
0.361 0.622 0.809
0.436 0.972 0.249
0.465 0.391 0.667
0.488 0.747 0.098
0.512 0.253 0.902
0.535 0.609 0.333
0.564 0.028 0.751
0.639 0.378 0.191
0.650 0.238 0.423
0.696 0.557 0.687
0.777 0.510 0.995
0.815 0.181 0.766
0.909 0.360 0.484
0.928 0.677 0.257
```

=====

A plane-wave DFT calculation with SCAN was carried out for BiB3O6 at its PBEsol-relaxed geometry.

Excess energy over the best structure of this formula in the dataset (eV per atom): 0.026
Formation energy (no corrections) (eV per atom): -2.28
Crystal system: triclinic

Geometry as POSCAR:
```
BiB3O6
1.0
4.365 0.000 0.000
1.316 4.166 0.000
1.365 0.967 6.339
Bi B O
1 3 6
Direct
0.000 0.000 0.000
0.312 0.184 0.306
0.720 0.276 0.502
0.813 0.685 0.697
0.407 0.288 0.456
0.491 0.082 0.122
0.707 0.589 0.549
0.801 0.014 0.684
0.917 0.508 0.880
0.983 0.195 0.318
```

=====

A plane-wave DFT calculation with SCAN was carried out for Bi2B3O9 at its PBEsol-relaxed geometry.

Formation energy (no corrections) (eV per atom): -1.68
Crystal system: hexagonal

Geometry as POSCAR:
```
Bi2B3O9
1.0
6.227 0.000 0.000
-3.113 5.393 0.000
0.000 0.000 9.161
Bi B O
4 6 18
Direct
0.333 0.667 0.000
0.333 0.667 0.500
0.667 0.333 0.000
0.667 0.333 0.500
0.000 0.232 0.250
0.000 0.768 0.750
0.232 0.000 0.250
0.232 0.232 0.750
0.768 0.000 0.750
0.768 0.768 0.250
0.000 0.226 0.750
0.000 0.370 0.114
0.000 0.370 0.386
0.000 0.630 0.614
0.000 0.630 0.886
0.000 0.774 0.250
0.226 0.000 0.750
0.226 0.226 0.250
0.370 0.000 0.114
0.370 0.000 0.386
0.370 0.370 0.614
0.370 0.370 0.886
0.630 0.000 0.614
0.630 0.000 0.886
0.630 0.630 0.114
0.630 0.630 0.386
0.774 0.000 0.250
0.774 0.774 0.750
```